Record 1
{"formula": "KPH", "functional": "PBE", "state": "relaxed", "spacegroup": "P-1, No. 2", "volume_a3_per_atom": 21.64, "e_tot_ev_per_atom": -3.581, "polymorph_energy_mev_per_atom": 0.0, "density_kg_m3": 1818, "cell": [[-1.4352, 3.0336, -3.8373], [1.8392, -2.8598, -2.9591], [-4.3061, -4.1109, 1.7198]], "species": ["K", "K", "P", "P", "H", "H"], "frac_coords": [[0.1851, 0.7527, 0.1403], [0.4382, 0.1797, 0.6526], [0.7354, 0.2970, 0.2411], [0.8878, 0.6353, 0.5517], [0.6518, 0.5272, 0.0709], [0.9714, 0.4052, 0.7220]]}

Record 2
{"formula": "PuNi3P2", "functional": "PBE", "state": "relaxed", "spacegroup": "Immm, No. 71", "volume_a3_per_atom": 14.49, "e_tot_ev_per_atom": -7.624, "e_form_mev_per_atom": -541, "density_kg_m3": 9208, "cell": [[3.4764, 0.0000, 0.9570], [0.9699, 6.5715, 3.2692], [-0.1648, -0.3812, 7.3910]], "species": ["Pu", "Pu", "Ni", "Ni", "Ni", "Ni", "Ni", "Ni", "P", "P", "P", "P"], "frac_coords": [[0.8751, 0.1249, 0.1250], [0.1249, 0.8751, 0.8750], [0.3290, 0.4994, 0.8426], [0.0000, 0.3510, 0.6491], [0.6709, 0.1576, 0.5006], [0.3291, 0.8424, 0.4994], [0.0000, 0.6490, 0.3509], [0.6710, 0.5006, 0.1574], [0.5000, 0.2006, 0.7994], [0.5000, 0.7994, 0.2006], [0.8343, 0.6656, 0.6657], [0.1657, 0.3344, 0.3343]]}

Record 3
{"formula": "V2OsPt", "functional": "PBE", "state": "relaxed", "spacegroup": "R-3m, No. 166", "volume_a3_per_atom": 14.31, "e_tot_ev_per_atom": -9.037, "e_form_mev_per_atom": -160, "density_kg_m3": 14136, "cell": [[-1.6364, 1.6856, -1.4233], [-2.1474, -1.0129, -1.3811], [-6.3146, 1.2919, 6.1395]], "species": ["Os", "Pt", "V", "V"], "frac_coords": [[0.0000, 0.0000, 0.0000], [0.5000, 0.5000, 0.5000], [0.2515, 0.2515, 0.2456], [0.7485, 0.7485, 0.7544]]}

Record 4
{"formula": "PuGaSnAu", "functional": "PBE", "state": "relaxed", "spacegroup": "F-43m, No. 216", "volume_a3_per_atom": 22.17, "e_tot_ev_per_atom": -6.378, "e_form_mev_per_atom": -218, "density_kg_m3": 11788, "cell": [[5.0052, 0.0000, 0.0000], [2.5026, 4.3346, 0.0000], [2.5026, 1.4449, 4.0867]], "species": ["Au", "Sn", "Ga", "Pu"], "frac_coords": [[0.2500, 0.2500, 0.2500], [0.5000, 0.5000, 0.5000], [0.0000, 0.0000, 0.0000], [0.7500, 0.7500, 0.7500]]}

Record 5
{"formula": "ZrTeAu", "functional": "PBE", "state": "relaxed", "spacegroup": "P3m1, No. 156", "raw_formation_energy_ev_per_atom": -0.29, "volume_a3_per_atom": 23.61, "e_tot_ev_per_atom": -5.275, "polymorph_energy_mev_per_atom": 262.3, "density_kg_m3": 9748, "cell": [[-3.2888, 0.9553, -3.1628], [-0.1032, -4.0408, 2.3224], [-2.1119, 1.5925, 2.6770]], "species": ["Au", "Te", "Zr"], "frac_coords": [[0.0000, 0.0000, 0.9367], [0.6667, 0.3333, 0.2994], [0.3333, 0.6667, 0.7639]]}

Record 6
{"formula": "AcSnH6Pt2", "functional": "PBE", "state": "relaxed", "spacegroup": "C2/c, No. 15", "volume_a3_per_atom": 13.25, "e_tot_ev_per_atom": -4.343, "density_kg_m3": 9295, "cell": [[-3.1969, 2.7212, -5.0336], [2.8761, -3.8482, -4.4588], [-4.4351, -3.7633, 3.8490]], "species": ["Ac", "Ac", "Sn", "Sn", "H", "H", "H", "H", "H", "H", "H", "H", "H", "H", "H", "H", "Pt", "Pt", "Pt", "Pt"], "frac_coords": [[0.1573, 0.8427, 0.2500], [0.8427, 0.1573, 0.7500], [0.5880, 0.4120, 0.2500], [0.4120, 0.5880, 0.7500], [0.9150, 0.2910, 0.1896], [0.7090, 0.0850, 0.3104], [0.0850, 0.7090, 0.8104], [0.2910, 0.9150, 0.6896], [0.2031, 0.1052, 0.0424], [0.8948, 0.7969, 0.4576], [0.7969, 0.8948, 0.9576], [0.1052, 0.2031, 0.5424], [0.1608, 0.5583, 0.4273], [0.4417, 0.8392, 0.0727], [0.8392, 0.4417, 0.5727], [0.5583, 0.1608, 0.9273], [0.3318, 0.1805, 0.7325], [0.8195, 0.6682, 0.7675], [0.6682, 0.8195, 0.2675], [0.1805, 0.3318, 0.2325]]}

Record 7
{"formula": "Al2SiNi", "functional": "PBE", "state": "relaxed", "spacegroup": "Cm, No. 8", "raw_formation_energy_ev_per_atom": -0.18, "volume_a3_per_atom": 13.80, "e_tot_ev_per_atom": -4.853, "polymorph_energy_mev_per_atom": 132.4, "density_kg_m3": 4233, "cell": [[4.8376, -0.0501, 0.0035], [4.0911, 2.5823, 0.0035], [1.1690, 0.3315, 4.3496]], "species": ["Ni", "Si", "Al", "Al"], "frac_coords": [[0.5190, 0.5190, 0.5336], [0.2208, 0.2208, 0.2324], [0.9874, 0.9874, 0.0321], [0.7728, 0.7728, 0.7019]]}

Record 8
{"formula": "NdDyThAl", "functional": "PBE", "state": "relaxed", "spacegroup": "F-43m, No. 216", "volume_a3_per_atom": 28.46, "e_tot_ev_per_atom": -5.144, "e_form_mev_per_atom": -11, "density_kg_m3": 8252, "cell": [[-0.3858, -5.3478, 0.9202], [3.6395, -2.4801, 3.1934], [-1.4796, -1.8154, 4.9102]], "species": ["Nd", "Al", "Th", "Dy"], "frac_coords": [[0.0000, 0.0000, 0.0000], [0.2500, 0.2500, 0.2500], [0.5000, 0.5000, 0.5000], [0.7500, 0.7500, 0.7500]]}

Record 9
{"formula": "Nd7TmSc2", "functional": "PBE", "state": "relaxed", "spacegroup": "Cmmm, No. 65", "volume_a3_per_atom": 39.04, "e_tot_ev_per_atom": -4.454, "e_form_mev_per_atom": 597, "density_kg_m3": 5396, "cell": [[-4.8272, 2.8068, 0.2081], [-4.5155, -7.7273, -0.5198], [2.2552, 3.2830, 8.0317]], "species": ["Nd", "Nd", "Nd", "Nd", "Nd", "Nd", "Nd", "Tm", "Sc", "Sc"], "frac_coords": [[0.0000, 0.7535, 0.2465], [0.0000, 0.2465, 0.7535], [0.5000, 0.0625, 0.3031], [0.5000, 0.9375, 0.6969], [0.5000, 0.3031, 0.0625], [0.5000, 0.6969, 0.9375], [0.5000, 0.5000, 0.5000], [0.0000, 0.0000, 0.0000], [0.5000, 0.7033, 0.2967], [0.5000, 0.2967, 0.7033]]}

Record 10
{"formula": "DyNiSn", "functional": "PBE", "state": "relaxed", "spacegroup": "P-6m2, No. 187", "volume_a3_per_atom": 20.98, "e_tot_ev_per_atom": -5.396, "e_form_mev_per_atom": -600, "density_kg_m3": 8969, "cell": [[3.6041, 0.0000, 0.0000], [0.0000, 4.4902, 0.0000], [0.0000, -2.2451, 3.8886]], "species": ["Ni", "Sn", "Dy"], "frac_coords": [[0.1665, 0.0000, 0.0000], [0.1667, 0.3333, 0.6667], [0.6667, 0.6667, 0.3333]]}

Record 11
{"formula": "HfFeSe2N", "functional": "PBE", "state": "relaxed", "spacegroup": "P4/mmm, No. 123", "raw_formation_energy_ev_per_atom": -0.06, "volume_a3_per_atom": 16.30, "e_tot_ev_per_atom": -6.798, "polymorph_energy_mev_per_atom": 0.0, "density_kg_m3": 8277, "cell": [[-3.5418, 2.5319, 2.1868], [-1.7993, -4.1265, 1.8634], [1.9877, 0.3855, 2.7730]], "species": ["Hf", "Fe", "Se", "Se", "N"], "frac_coords": [[0.5000, 0.5000, 0.5000], [0.0000, 0.0000, 0.0000], [0.0000, 0.5000, 0.0000], [0.5000, 0.0000, 0.0000], [0.0000, 0.0000, 0.5000]]}

Record 12
{"formula": "AlSiSb2", "functional": "PBE", "state": "relaxed", "spacegroup": "Pm, No. 6", "raw_formation_energy_ev_per_atom": 0.20, "volume_a3_per_atom": 23.10, "e_tot_ev_per_atom": -4.151, "polymorph_energy_mev_per_atom": 41.8, "density_kg_m3": 5366, "cell": [[-0.4267, -3.2782, 1.8789], [2.0669, 0.9032, 2.0452], [-6.8539, 2.8143, 3.3538]], "species": ["Sb", "Sb", "Si", "Al"], "frac_coords": [[0.0000, 0.0384, 0.9724], [0.5000, 0.2112, 0.2837], [0.0000, 0.3394, 0.5500], [0.5000, 0.9109, 0.6939]]}

Record 13
{"formula": "LiCo2Te", "functional": "PBE", "state": "relaxed", "spacegroup": "R-3m, No. 166", "raw_formation_energy_ev_per_atom": 0.55, "volume_a3_per_atom": 15.94, "e_tot_ev_per_atom": -4.266, "density_kg_m3": 6573, "cell": [[0.0510, 7.4364, -0.6581], [-3.0578, 6.8029, -0.3246], [-1.1885, 7.0181, 2.2515]], "species": ["Co", "Co", "Li", "Te"], "frac_coords": [[0.0045, 0.0045, 0.0045], [0.4955, 0.4955, 0.4955], [0.2500, 0.2500, 0.2500], [0.7500, 0.7500, 0.7500]]}

Record 14
{"formula": "TmZrAs2", "functional": "PBE", "state": "relaxed", "spacegroup": "R3m, No. 160", "volume_a3_per_atom": 22.28, "e_tot_ev_per_atom": -6.802, "e_form_mev_per_atom": -1223, "polymorph_energy_mev_per_atom": 80.2, "density_kg_m3": 7641, "cell": [[3.8857, 0.0000, 0.0000], [1.9428, 3.3651, 0.0000], [1.9428, 1.1217, 6.8144]], "species": ["Tm", "Zr", "As", "As"], "frac_coords": [[0.6705, 0.6705, 0.9885], [0.4975, 0.4975, 0.5075], [0.0851, 0.0851, 0.7447], [0.2469, 0.2469, 0.2593]]}

Record 15
{"formula": "CsRbY2P", "functional": "PBE", "state": "relaxed", "spacegroup": "P4/mmm, No. 123", "volume_a3_per_atom": 41.41, "e_tot_ev_per_atom": -2.814, "e_form_mev_per_atom": 1218, "density_kg_m3": 3426, "cell": [[-2.2204, 1.1834, -5.3223], [5.1432, -1.6947, -2.5225], [-2.0096, -5.5198, -0.3890]], "species": ["Cs", "Y", "Y", "Rb", "P"], "frac_coords": [[0.5000, 0.5000, 0.5000], [0.0000, 0.0000, 0.5000], [0.5000, 0.0000, 0.0000], [0.0000, 0.0000, 0.0000], [0.0000, 0.5000, 0.0000]]}

Record 16
{"formula": "Ti3GePt", "functional": "PBE", "state": "relaxed", "spacegroup": "Pm-3m, No. 221", "volume_a3_per_atom": 19.61, "e_tot_ev_per_atom": -6.536, "e_form_mev_per_atom": 332, "polymorph_energy_mev_per_atom": 707.1, "density_kg_m3": 6966, "cell": [[4.6113, 0.0000, 0.0000], [0.0000, 4.6113, 0.0000], [0.0000, 0.0000, 4.6113]], "species": ["Ge", "Pt", "Ti", "Ti", "Ti"], "frac_coords": [[0.0000, 0.0000, 0.0000], [0.5000, 0.5000, 0.5000], [0.0000, 0.5000, 0.0000], [0.0000, 0.0000, 0.5000], [0.5000, 0.0000, 0.0000]]}

Record 17
{"formula": "Si3W", "functional": "PBE", "state": "relaxed", "spacegroup": "R-3m, No. 166", "raw_formation_energy_ev_per_atom": 0.42, "volume_a3_per_atom": 14.45, "e_tot_ev_per_atom": -6.887, "polymorph_energy_mev_per_atom": 423.8, "density_kg_m3": 7700, "cell": [[-1.1697, -2.5253, -3.9756], [3.2694, -2.0552, 2.9390], [-3.6489, 2.3385, 2.1836]], "species": ["Si", "Si", "Si", "W"], "frac_coords": [[0.0000, 0.0000, 0.0000], [0.5000, 0.0000, 0.5000], [0.5000, 0.5000, 0.0000], [0.0000, 0.5000, 0.5000]]}

Record 18
{"formula": "SiOsPb2", "functional": "PBE", "state": "relaxed", "spacegroup": "R3m, No. 160", "raw_formation_energy_ev_per_atom": 0.12, "volume_a3_per_atom": 24.64, "e_tot_ev_per_atom": -5.897, "density_kg_m3": 10661, "cell": [[4.0218, -0.0155, 0.0294], [2.0272, 3.4735, 0.0294], [1.9665, 1.1242, 7.0576]], "species": ["Os", "Pb", "Pb", "Si"], "frac_coords": [[0.2079, 0.2079, 0.3763], [0.9736, 0.9736, 0.0793], [0.7768, 0.7768, 0.6700], [0.5417, 0.5417, 0.3743]]}

Record 19
{"formula": "PSeBr2", "functional": "PBE", "state": "relaxed", "spacegroup": "Cmmm, No. 65", "raw_formation_energy_ev_per_atom": 0.15, "volume_a3_per_atom": 31.04, "e_tot_ev_per_atom": -2.914, "polymorph_energy_mev_per_atom": 203.5, "density_kg_m3": 3607, "cell": [[-5.4247, 1.0656, -5.1329], [3.9716, -5.4824, 3.3283], [-2.4218, -0.2295, 2.5118]], "species": ["P", "Se", "Br", "Br"], "frac_coords": [[0.5000, 0.5000, 0.5000], [0.0000, 0.0000, 0.5000], [0.6313, 0.3687, 0.0000], [0.3687, 0.6313, 0.0000]]}

Record 20
{"formula": "K2BaCd", "functional": "PBE", "state": "relaxed", "spacegroup": "I-42d, No. 122", "volume_a3_per_atom": 52.30, "e_tot_ev_per_atom": -1.169, "e_form_mev_per_atom": 89, "density_kg_m3": 2603, "cell": [[5.3223, 0.0000, 0.0000], [0.0000, 5.3223, 0.0000], [2.6612, 2.6612, 14.7704]], "species": ["K", "K", "K", "K", "Ba", "Ba", "Cd", "Cd"], "frac_coords": [[0.5995, 0.1250, 0.2500], [0.1505, 0.6250, 0.2500], [0.3750, 0.4005, 0.7500], [0.8750, 0.8495, 0.7500], [0.0000, 0.0000, 0.0000], [0.7500, 0.2500, 0.5000], [0.5000, 0.5000, 0.0000], [0.2500, 0.7500, 0.5000]]}